SbW2Se: single point on PBEsol structure, meta-GGA SCAN.

a = 3.062 Å, b = 4.545 Å, c = 5.316 Å
α = 112.30°, β = 90.00°, γ = 90.00°
Atoms (fractional coordinates):
W: 0.000 0.000 0.000
W: 0.500 0.000 0.500
Se: 0.000 0.500 0.500
Sb: 0.500 0.500 0.000

- ρ: 13.8 g cm⁻³
- E above lowest polymorph: 2.05 eV/f.u.
- Space-group type: P2/m, No. 10
- Uncorrected formation energy: 0.7776 eV per atom